DFT (PBE) results for a geometry-optimized ReAs2Pt structure.

Lattice parameters (Å, degrees): 4.791 2.697 5.110 90.58 90.00 90.00
Sites, in units of the cell vectors:
Re 0.500 0.750 0.750
Pt 0.500 0.250 0.250
As 0.000 0.679 0.499
As 0.000 0.821 0.001

Computed properties:
magnetization: 0.00 μB per formula unit
formation enthalpy at 0 K: 164.4 kJ/mol of formula units
space-group type: P2/m (10)
mass density: 13.358 Mg/m³
excess energy over the best structure of this formula in the dataset: 333 meV/atom
density of states at the Fermi level: 0.50 states/eV/atom
E: -6.5211 eV per atom